# ScTaMn2O6

A relaxed structure of ScTaMn2O6 (PBE+U, Alexandria via LeMat-Bulk).

Summary:
magnetization = 10.000 μB per formula unit
theoretical density = 6.169 g/cm3
final energy = -8.842 eV/atom
space-group type = No. 14

a b c (Å): 5.3522 5.5469 7.8302
angles (deg): 90.00 90.05 90.00
Last column: magnetic moment on the atom in μB.
Positions (direct):
O1 0.8791 0.5594 0.2419  0.03
O2 0.8258 0.8051 0.9311  0.04
O3 0.3258 0.6949 0.4311  0.04
O4 0.6899 0.3193 0.9400  0.04
O5 0.8101 0.8193 0.5600  0.04
O6 0.1209 0.4406 0.7581  0.03
O7 0.6209 0.0594 0.2581  0.03
O8 0.1742 0.1949 0.0689  0.04
O9 0.1900 0.1807 0.4400  0.04
O10 0.6742 0.3051 0.5689  0.04
O11 0.3100 0.6807 0.0600  0.04
O12 0.3791 0.9406 0.7419  0.03
Ta1 0.5000 0.0000 0.5000  0.03
Ta2 0.0000 0.5000 0.0000  0.03
Mn1 0.9914 0.0481 0.7481  4.63
Mn2 0.4914 0.4519 0.2481  4.63
Mn3 0.5086 0.5481 0.7519  4.63
Mn4 0.0086 0.9519 0.2519  4.63
Sc1 0.0000 0.5000 0.5000  0.01
Sc2 0.5000 0.0000 0.0000  0.01